(1)
VASP calculation (PBE) on an optimized crystal structure of RbBaZn2F8.

abc: 7.528 7.528 7.528
angles: 133.66 133.66 67.62
Positions (direct):
Rb1 0.000 0.000 0.000
Ba1 0.250 0.750 0.500
Zn1 0.500 0.500 0.000
Zn2 0.750 0.250 0.500
F1 0.296 0.668 0.121
F2 0.332 0.454 0.629
F3 0.439 0.032 0.104
F4 0.546 0.175 0.879
F5 0.665 0.561 0.593
F6 0.825 0.704 0.371
F7 0.928 0.335 0.896
F8 0.968 0.072 0.407

Computed properties:
- Space group: I-4 (82)
- Formation energy from raw total energies: -2.5791 eV per atom
- Total DFT energy (no corrections): -4.280 eV/atom

=====

(2)
VASP calculation (PBE) on an optimized crystal structure of Rb2BaZnF6.

abc: 6.270 9.168 6.895
angles: 90.00 90.00 90.00
Positions (direct):
Rb1 0.250 0.027 0.194
Rb2 0.250 0.473 0.194
Rb3 0.750 0.527 0.806
Rb4 0.750 0.973 0.806
Ba1 0.250 0.250 0.703
Ba2 0.750 0.750 0.297
Zn1 0.250 0.750 0.786
Zn2 0.750 0.250 0.214
F1 0.007 0.750 0.584
F2 0.021 0.750 0.011
F3 0.250 0.522 0.787
F4 0.250 0.978 0.787
F5 0.479 0.750 0.011
F6 0.493 0.750 0.584
F7 0.507 0.250 0.416
F8 0.521 0.250 0.989
F9 0.750 0.022 0.213
F10 0.750 0.478 0.213
F11 0.979 0.250 0.989
F12 0.993 0.250 0.416

Computed properties:
- Space group: Pmmn (59)
- Formation energy from raw total energies: -2.9174 eV per atom
- Total DFT energy (no corrections): -4.553 eV/atom
- Energy above the most stable polymorph in this dataset: 0.000 eV per atom

=====

(3)
VASP calculation (PBE) on an optimized crystal structure of Rb2BaZnF6.

abc: 6.528 6.528 6.528
angles: 60.00 60.00 60.00
Positions (direct):
Rb1 0.250 0.250 0.250
Rb2 0.750 0.750 0.750
Ba1 0.000 0.000 0.000
Zn1 0.500 0.500 0.500
F1 0.275 0.275 0.725
F2 0.275 0.725 0.275
F3 0.275 0.725 0.725
F4 0.725 0.275 0.275
F5 0.725 0.275 0.725
F6 0.725 0.725 0.275

Computed properties:
- Space group: Fm-3m (225)
- Formation energy from raw total energies: -2.9102 eV per atom
- Total DFT energy (no corrections): -4.546 eV/atom
- Energy above the most stable polymorph in this dataset: 0.007 eV per atom